Record 1
This record from Alexandria via LeMat-Bulk describes crystalline La6Tl3Pt at its relaxed geometry. The functional is GGA-PBE.

Properties
* ΔH_f (0 K): -4.7 eV per formula unit
* electronic total energy: -94.81 eV for the cell shown

Cell: 5.632 9.630 13.110 Å, 90.00 115.42 90.00°
Element x y z (fractional)
La (0.051, 0.180, 0.051)
La (0.051, 0.320, 0.551)
La (0.234, 0.502, 0.235)
La (0.234, 0.998, 0.735)
La (0.440, 0.156, 0.439)
La (0.440, 0.344, 0.939)
La (0.560, 0.656, 0.061)
La (0.560, 0.844, 0.561)
La (0.766, 0.002, 0.265)
La (0.766, 0.498, 0.765)
La (0.949, 0.680, 0.449)
La (0.949, 0.820, 0.949)
Tl (0.250, 0.664, 0.749)
Tl (0.250, 0.836, 0.249)
Tl (0.500, 0.000, 0.000)
Tl (0.500, 0.500, 0.500)
Tl (0.750, 0.164, 0.751)
Tl (0.750, 0.336, 0.251)
Pt (0.000, 0.000, 0.500)
Pt (0.000, 0.500, 0.000)

=====

Record 2
This record from Alexandria via LeMat-Bulk describes crystalline ScMnBr at its relaxed geometry. The functional is GGA-PBE.

Properties
* ΔE_f (raw): -80.55 kJ per mole of atoms
* electronic total energy: -39.36 eV for the cell shown

Cell: 3.674 3.674 11.600 Å, 99.30 99.30 59.94°
Element x y z (fractional)
Sc (0.060, 0.060, 0.176)
Sc (0.940, 0.940, 0.824)
Mn (0.336, 0.336, 0.008)
Mn (0.664, 0.664, 0.992)
Br (0.220, 0.220, 0.667)
Br (0.780, 0.780, 0.333)

=====

Record 3
This record from Alexandria via LeMat-Bulk describes crystalline Ho2Al6Ru at its relaxed geometry. The functional is GGA-PBE.

Properties
* ΔH_f (0 K): -4.3 eV per formula unit
* electronic total energy: -45.17 eV for the cell shown

Cell: 5.728 5.728 5.955 Å, 90.00 90.00 120.00°
Element x y z (fractional)
Ho (0.333, 0.667, 0.368)
Ho (0.667, 0.333, 0.632)
Al (0.171, 0.341, 0.818)
Al (0.171, 0.829, 0.818)
Al (0.341, 0.171, 0.182)
Al (0.659, 0.829, 0.818)
Al (0.829, 0.171, 0.182)
Al (0.829, 0.659, 0.182)
Ru (0.000, 0.000, 0.500)

=====

Record 4
This record from Alexandria via LeMat-Bulk describes crystalline LaDy4Ho at its relaxed geometry. The functional is GGA-PBE.

Properties
* E above lowest polymorph: 0 meV/atom
* ΔH_f (0 K): 0.2 eV per formula unit
* electronic total energy: -27.76 eV for the cell shown

Cell: 5.720 9.606 9.606 Å, 21.84 90.00 90.00°
Element x y z (fractional)
La (0.000, 0.000, 0.000)
Dy (0.000, 0.329, 0.329)
Dy (0.000, 0.667, 0.667)
Dy (0.500, 0.555, 0.555)
Dy (0.500, 0.885, 0.885)
Ho (0.500, 0.221, 0.221)

=====

Record 5
This record from Alexandria via LeMat-Bulk describes crystalline Ho6SeS5 at its relaxed geometry. The functional is GGA-PBE.

Properties
* ΔE_f (raw): -186.45 kJ per mole of atoms
* electronic total energy: -74.78 eV for the cell shown

Cell: 6.787 6.787 6.779 Å, 99.61 99.61 120.16°
Element x y z (fractional)
Ho (0.069, 0.413, 0.236)
Ho (0.244, 0.244, 0.761)
Ho (0.413, 0.069, 0.236)
Ho (0.587, 0.931, 0.764)
Ho (0.756, 0.756, 0.239)
Ho (0.931, 0.587, 0.764)
Se (0.500, 0.500, 0.500)
S (0.000, 0.000, 0.000)
S (0.167, 0.833, 0.500)
S (0.338, 0.662, 0.000)
S (0.662, 0.338, 0.000)
S (0.833, 0.167, 0.500)

=====

Record 6
This record from Alexandria via LeMat-Bulk describes crystalline Pm2Ni3IrPt12 at its relaxed geometry. The functional is GGA-PBE.

Properties
* ΔH_f (0 K): -0.5 eV per formula unit
* electronic total energy: -108.65 eV for the cell shown

Cell: 9.464 9.464 9.464 Å, 41.94 41.94 41.94°
Element x y z (fractional)
Pm (0.157, 0.157, 0.157)
Pm (0.843, 0.843, 0.843)
Ni (0.000, 0.500, 0.500)
Ni (0.500, 0.000, 0.500)
Ni (0.500, 0.500, 0.000)
Ir (0.500, 0.500, 0.500)
Pt (0.087, 0.087, 0.687)
Pt (0.087, 0.687, 0.087)
Pt (0.133, 0.579, 0.579)
Pt (0.313, 0.913, 0.913)
Pt (0.421, 0.421, 0.867)
Pt (0.421, 0.867, 0.421)
Pt (0.579, 0.133, 0.579)
Pt (0.579, 0.579, 0.133)
Pt (0.687, 0.087, 0.087)
Pt (0.867, 0.421, 0.421)
Pt (0.913, 0.313, 0.913)
Pt (0.913, 0.913, 0.313)